(1)
## AlAgMo2 (GGA-PBE)

Data for a relaxed AlAgMo2 crystal.

a b c (Å): 4.848 4.848 5.102
angles (deg): 84.50 84.50 32.65
Sites, in units of the cell vectors:
Mo 0.995 0.995 0.987
Mo 0.753 0.753 0.770
Al 0.250 0.250 0.261
Ag 0.502 0.502 0.482

density of states at the Fermi level = 1.8 states/eV per cell
calculated volume = 64 Å³ per cell
total DFT energy (no corrections) = -6.883 eV/atom

=====

(2)
## Zr2TcO (GGA-PBE)

Data for a relaxed Zr2TcO crystal.

a b c (Å): 3.119 3.119 6.479
angles (deg): 90.00 90.00 90.00
Sites, in units of the cell vectors:
O 0.500 0.500 0.000
Tc 0.500 0.500 0.500
Zr 0.000 0.000 0.757
Zr 0.000 0.000 0.243

density of states at the Fermi level = 2.6 states/eV per cell
calculated volume = 63 Å³ per cell
total DFT energy (no corrections) = -8.953 eV/atom
uncorrected formation energy = -0.8479 eV per atom

=====

Q: Which of these has the highest total DFT energy (no corrections)?
A: AlAgMo2